First-principles (PBE) data for an optimized crystal structure of Dy3BiIr, as listed in the Alexandria database.

The structure belongs to space group Pmmn (No. 59, origin choice 2); the cell edges are 4.387, 6.888 and 9.334 Å and the angles 90.00°, 90.00° and 90.00°. The inequivalent atoms are Dy at (0.250, 0.003, 0.148), Dy at (0.250, 0.250, 0.594), Bi at (0.250, 0.750, 0.644) and Ir at (0.250, 0.250, 0.898).

The energy above the most stable polymorph in this dataset is 0.021 eV/atom. For the formation energy, the calculation gives -0.743 eV/atom.


First-principles (PBE) data for an optimized crystal structure of Dy4BiIr, as listed in the Alexandria database.

The structure belongs to space group Pnma (No. 62); the cell edges are 8.155, 4.124 and 19.454 Å and the angles 90.00°, 90.00° and 90.00°. The inequivalent atoms are Dy at (0.003, 0.250, 0.067), Dy at (0.040, 0.250, 0.786), Dy at (0.139, 0.250, 0.549), Dy at (0.146, 0.250, 0.358), Bi at (0.236, 0.750, 0.690) and Ir at (0.248, 0.750, 0.452).

The energy above the most stable polymorph in this dataset is 0.000 eV/atom. For the formation energy, the calculation gives -0.666 eV/atom.


First-principles (PBE) data for an optimized crystal structure of Dy12BiIr6, as listed in the Alexandria database.

The structure belongs to space group Im-3 (No. 204); the cell edges are 9.986, 9.986 and 9.986 Å and the angles 90.00°, 90.00° and 90.00°. The inequivalent atoms are Dy at (0.000, 0.195, 0.302), Bi at (0.000, 0.000, 0.000) and Ir at (0.000, 0.374, 0.500).

For the formation energy, the calculation gives -0.641 eV/atom.